No. 1
! LiMg2Ru (PBE-GGA, optimized geometry); values from VASP
&SYSTEM
  ibrav = 0, nat = 4, ntyp = 3
/
ATOMIC_SPECIES
Ru 101.07 Ru.upf
Mg 24.30 Mg.upf
Li 6.94 Li.upf
ATOMIC_POSITIONS crystal
Ru 0.7500 0.7500 0.7500
Mg 0.2500 0.2500 0.2500
Li 0.5000 0.5000 0.5000
Mg 0.0000 0.0000 0.0000
CELL_PARAMETERS angstrom
4.5064 0.0000 0.0000
2.2532 3.9027 0.0000
2.2532 1.3009 3.6795
! Space-group type ... No. 216
! Calculated volume ... 16.18 A^3/atom
! Crystal system ... cubic
! Calculated total energy ... -3.4681 eV per atom



No. 2
! NaGaRh3 (PBE-GGA, optimized geometry); values from VASP
&SYSTEM
  ibrav = 0, nat = 5, ntyp = 3
/
ATOMIC_SPECIES
Rh 102.91 Rh.upf
Na 22.99 Na.upf
Ga 69.72 Ga.upf
ATOMIC_POSITIONS crystal
Rh 0.0000 0.5000 0.0000
Rh 0.5000 0.0000 0.0000
Na 0.0000 0.0000 0.0000
Rh 0.0000 0.0000 0.5000
Ga 0.5000 0.5000 0.5000
CELL_PARAMETERS angstrom
4.4765 0.0000 0.0000
0.0000 4.4765 0.0000
0.0000 0.0000 4.4765
! Excess energy over the best structure of this formula in the dataset ... 20.46 kcal/mol of atoms
! Space-group type ... No. 221
! Calculated volume ... 17.94 A^3/atom
! Crystal system ... cubic
! Calculated total energy ... -3.8132 eV per atom



No. 3
! CaAcPrTl (PBE-GGA, optimized geometry); values from VASP
&SYSTEM
  ibrav = 0, nat = 4, ntyp = 4
/
ATOMIC_SPECIES
Tl 204.38 Tl.upf
Ac 227.00 Ac.upf
Ca 40.08 Ca.upf
Pr 140.91 Pr.upf
ATOMIC_POSITIONS crystal
Tl 0.0000 0.0000 0.0000
Ac 0.5000 0.5000 0.5000
Ca 0.7500 0.7500 0.7500
Pr 0.2500 0.2500 0.2500
CELL_PARAMETERS angstrom
5.8247 0.0000 0.0000
2.9124 5.0443 0.0000
2.9124 1.6814 4.7559
! Space-group type ... No. 216
! Calculated volume ... 34.93 A^3/atom
! Crystal system ... cubic
! Calculated total energy ... -3.2829 eV per atom



No. 4
! AlB3W (PBE-GGA, optimized geometry); values from VASP
&SYSTEM
  ibrav = 0, nat = 5, ntyp = 3
/
ATOMIC_SPECIES
B 10.81 B.upf
Al 26.98 Al.upf
W 183.84 W.upf
ATOMIC_POSITIONS crystal
B 0.0000 0.5000 0.0000
B 0.5000 0.0000 0.0000
B 0.0000 0.0000 0.5000
Al 0.0000 0.0000 0.0000
W 0.5000 0.5000 0.5000
CELL_PARAMETERS angstrom
3.9009 0.0000 0.0000
0.0000 3.9009 0.0000
0.0000 0.0000 3.9009
! Excess energy over the best structure of this formula in the dataset ... 17.50 kcal/mol of atoms
! Space-group type ... No. 221
! Calculated volume ... 11.87 A^3/atom
! Crystal system ... cubic
! Calculated total energy ... -5.2678 eV per atom